The following is a DFT calculation (GGA-PBE) of a relaxed structure of Al2TlGe.

Computed properties:
uncorrected energy = -3.355 eV/atom
ΔE_f = 6.1 kcal/mol of atoms
offset from the most stable computed form = 76 meV/atom
DOS(E_F) = 0.55 states/eV/atom

Structure (CIF):
```
data_Al2TlGe
_chemical_formula_sum 'Al8 Tl4 Ge4'
_cell_length_a 7.758
_cell_length_b 7.758
_cell_length_c 5.866
_cell_angle_alpha 90.00
_cell_angle_beta 90.00
_cell_angle_gamma 90.00
_space_group_name_H-M_alt 'I -4 2 d'
_space_group_IT_number 122
_space_group_name_Hall 'I -4 2bw'
loop_
_atom_site_label
_atom_site_type_symbol
_atom_site_fract_x
_atom_site_fract_y
_atom_site_fract_z
Al1 Al 0.201 0.250 0.125
Tl1 Tl 0.000 0.000 0.500
Ge1 Ge 0.000 0.000 0.000
```